The following is a PBE calculation of a geometry-optimized PmLu2Zn structure, from the Alexandria database.

Output
**Electronic total energy**: -3.841 eV per atom
**DFT formation energy**: -0.30 eV per formula unit
**Energy above the lowest structure with this stoichiometry**: 95 meV per atom
**N(E_F)**: 8.95 states/eV/cell

Geometry as CIF:
```
data_PmLu2Zn
_space_group_name_H-M_alt 'R -3 m'
_space_group_IT_number 166
_space_group_name_Hall '-R 3 2"'
_cell_length_a 3.5212
_cell_length_b 3.5212
_cell_length_c 30.6052
_cell_angle_alpha 90.00
_cell_angle_beta 90.00
_cell_angle_gamma 120.00
loop_
_atom_site_label
_atom_site_fract_x
_atom_site_fract_y
_atom_site_fract_z
Pm1 0.0000 0.0000 0.0000
Lu1 0.0000 0.0000 0.2381
Zn1 0.0000 0.0000 0.5000
```